# 1
Entry from Alexandria: a relaxed structure of TlCrIr2 (GGA-PBE).

```
TlCrIr2
1.0
4.165 0.000 0.000
0.000 4.165 0.000
0.000 0.000 3.731
Tl Cr Ir
1 1 2
direct
0.000 0.000 0.000 Tl
0.500 0.500 0.000 Cr
0.000 0.500 0.500 Ir
0.500 0.000 0.500 Ir
```

ρ   16.44 g cm⁻³
E above lowest polymorph   156 meV/atom
Magnetization   3.10 μB per cell
Formation enthalpy at 0 K   0.35 eV/atom

---

# 2
Entry from Alexandria: a relaxed structure of Tl3CrIr (GGA-PBE).

```
Tl3CrIr
1.0
5.255 0.000 0.000
0.000 5.255 0.000
0.000 0.000 5.255
Tl Cr Ir
3 1 1
direct
0.000 0.000 0.500 Tl
0.000 0.500 0.000 Tl
0.500 0.000 0.000 Tl
0.500 0.500 0.500 Cr
0.000 0.000 0.000 Ir
```

ρ   9.81 g cm⁻³
E above lowest polymorph   0 meV/atom
Magnetization   1.02 μB per cell
Formation enthalpy at 0 K   1.24 eV/atom

---

# 3
Entry from Alexandria: a relaxed structure of Tl2CrIr (GGA-PBE).

```
Tl2CrIr
1.0
0.000 3.412 3.412
3.412 0.000 3.412
3.412 3.412 0.000
Tl Cr Ir
2 1 1
direct
0.000 0.000 0.000 Tl
0.250 0.250 0.250 Tl
0.750 0.750 0.750 Cr
0.500 0.500 0.500 Ir
```

ρ   13.65 g cm⁻³
E above lowest polymorph   347 meV/atom
Magnetization   3.76 μB per cell
Formation enthalpy at 0 K   0.69 eV/atom

---

# 4
Entry from Alexandria: a relaxed structure of Tl2CrIr (GGA-PBE).

```
Tl2CrIr
1.0
4.372 0.000 0.000
0.000 4.372 0.000
0.000 0.000 4.039
Tl Cr Ir
2 1 1
direct
0.000 0.500 0.000 Tl
0.500 0.000 0.000 Tl
0.000 0.000 0.500 Cr
0.500 0.500 0.500 Ir
```

ρ   14.04 g cm⁻³
E above lowest polymorph   252 meV/atom
Magnetization   3.87 μB per cell
Formation enthalpy at 0 K   0.60 eV/atom

---

# 5
Entry from Alexandria: a relaxed structure of Tl2CrIr (GGA-PBE).

```
Tl2CrIr
1.0
4.585 -1.646 0.000
4.585 1.646 0.000
-1.090 0.000 5.214
Tl Cr Ir
2 1 1
direct
0.246 0.246 0.245 Tl
0.754 0.754 0.755 Tl
0.000 0.000 0.500 Cr
0.500 0.500 0.000 Ir
```

ρ   13.77 g cm⁻³
E above lowest polymorph   243 meV/atom
Magnetization   3.90 μB per cell
Formation enthalpy at 0 K   0.59 eV/atom

---

# 6
Entry from Alexandria: a relaxed structure of Tl2CrIr (GGA-PBE).

```
Tl2CrIr
1.0
-3.836 3.836 2.957
3.836 -3.836 2.957
3.836 3.836 -2.957
Tl Cr Ir
4 2 2
direct
0.109 0.125 0.484 Tl
0.375 0.891 0.016 Tl
0.641 0.625 0.516 Tl
0.875 0.359 0.984 Tl
0.250 0.750 0.500 Cr
0.500 0.500 0.000 Cr
0.000 0.000 0.000 Ir
0.750 0.250 0.500 Ir
```

ρ   12.46 g cm⁻³
E above lowest polymorph   453 meV/atom
Magnetization   8.26 μB per cell
Formation enthalpy at 0 K   0.80 eV/atom